[1]
Dy6GaP2S3 after structural relaxation. Source: Alexandria via LeMat-Bulk, functional GGA-PBE.

```
data_Dy6GaP2S3
_chemical_formula_sum 'Dy12 Ga2 P4 S6'
_symmetry_space_group_name_H-M 'C 1 2/m 1'
_symmetry_Int_Tables_number 12
_symmetry_space_group_name_Hall '-C 2y'
_cell_length_a 17.437
_cell_length_b 3.949
_cell_length_c 8.056
_cell_angle_alpha 90.00
_cell_angle_beta 103.31
_cell_angle_gamma 90.00
loop_
_atom_site_label
_atom_site_type_symbol
_atom_site_fract_x
_atom_site_fract_y
_atom_site_fract_z
Dy1 Dy 0.001 0.000 0.256
Dy2 Dy 0.167 0.500 0.089
Dy3 Dy 0.170 0.500 0.578
Ga1 Ga 0.000 0.500 0.000
P1 P 0.167 0.000 0.335
S1 S 0.000 0.500 0.500
S2 S 0.168 0.000 0.832
```

Output
As for the energy relative to the elements, uncorrected: -19.9 eV per formula unit. Its magnetization is 0.00 μB per formula unit.

[2]
Dy8Ga3PSe3 after structural relaxation. Source: Alexandria via LeMat-Bulk, functional GGA-PBE.

```
data_Dy8Ga3PSe3
_chemical_formula_sum 'Dy16 Ga6 P2 Se6'
_symmetry_space_group_name_H-M 'C 1 2/m 1'
_symmetry_Int_Tables_number 12
_symmetry_space_group_name_Hall '-C 2y'
_cell_length_a 13.731
_cell_length_b 7.944
_cell_length_c 8.464
_cell_angle_alpha 90.00
_cell_angle_beta 122.68
_cell_angle_gamma 90.00
loop_
_atom_site_label
_atom_site_type_symbol
_atom_site_fract_x
_atom_site_fract_y
_atom_site_fract_z
Dy1 Dy 0.001 0.243 0.260
Dy2 Dy 0.242 0.000 0.740
Dy3 Dy 0.248 0.500 0.744
Ga1 Ga 0.000 0.000 0.000
Ga2 Ga 0.250 0.250 0.000
P1 P 0.000 0.000 0.500
Se1 Se 0.000 0.500 0.500
Se2 Se 0.250 0.250 0.500
```

Output
As for the energy relative to the elements, uncorrected: -16.7 eV per formula unit. Its magnetization is 0.00 μB per formula unit.

[3]
Dy8GaTe4P3 after structural relaxation. Source: Alexandria via LeMat-Bulk, functional GGA-PBE.

```
data_Dy8GaTe4P3
_chemical_formula_sum 'Dy24 Ga3 Te12 P9'
_symmetry_space_group_name_H-M 'R -3 m'
_symmetry_Int_Tables_number 166
_symmetry_space_group_name_Hall '-R 3 2"'
_cell_length_a 8.3084
_cell_length_b 8.3084
_cell_length_c 21.1248
_cell_angle_alpha 90.00
_cell_angle_beta 90.00
_cell_angle_gamma 120.00
loop_
_atom_site_label
_atom_site_type_symbol
_atom_site_fract_x
_atom_site_fract_y
_atom_site_fract_z
Dy1 Dy 0.0000 0.0000 0.2368
Dy2 Dy 0.0018 0.5009 0.7611
Ga1 Ga 0.0000 0.0000 0.5000
Te1 Te 0.0000 0.0000 0.0000
Te2 Te 0.0000 0.5000 0.0000
P1 P 0.0000 0.5000 0.5000
```

Output
As for the energy relative to the elements, uncorrected: -22.4 eV per formula unit. Its magnetization is 0.00 μB per formula unit.

[4]
Dy4GaTe2P after structural relaxation. Source: Alexandria via LeMat-Bulk, functional GGA-PBE.

```
data_Dy4GaTe2P
_chemical_formula_sum 'Dy4 Ga1 Te2 P1'
_symmetry_space_group_name_H-M 'P 1 2/m 1'
_symmetry_Int_Tables_number 10
_symmetry_space_group_name_Hall '-P 2y'
_cell_length_a 7.317
_cell_length_b 4.124
_cell_length_c 7.476
_cell_angle_alpha 90.00
_cell_angle_beta 108.31
_cell_angle_gamma 90.00
loop_
_atom_site_label
_atom_site_type_symbol
_atom_site_fract_x
_atom_site_fract_y
_atom_site_fract_z
Dy1 Dy 0.236 0.000 0.215
Dy2 Dy 0.255 0.500 0.775
Ga1 Ga 0.500 0.000 0.000
Te1 Te 0.000 0.000 0.500
Te2 Te 0.500 0.500 0.500
P1 P 0.000 0.500 0.000
```

Output
As for the energy relative to the elements, uncorrected: -9.9 eV per formula unit. Its magnetization is 0.00 μB per formula unit.

[5]
Dy6GaTe3P2 after structural relaxation. Source: Alexandria via LeMat-Bulk, functional GGA-PBE.

```
data_Dy6GaTe3P2
_chemical_formula_sum 'Dy12 Ga2 Te6 P4'
_symmetry_space_group_name_H-M 'C 1 2/m 1'
_symmetry_Int_Tables_number 12
_symmetry_space_group_name_Hall '-C 2y'
_cell_length_a 18.555
_cell_length_b 4.121
_cell_length_c 8.612
_cell_angle_alpha 90.00
_cell_angle_beta 105.28
_cell_angle_gamma 90.00
loop_
_atom_site_label
_atom_site_type_symbol
_atom_site_fract_x
_atom_site_fract_y
_atom_site_fract_z
Dy1 Dy 0.008 0.000 0.239
Dy2 Dy 0.161 0.500 0.106
Dy3 Dy 0.176 0.500 0.562
Ga1 Ga 0.000 0.500 0.000
Te1 Te 0.000 0.500 0.500
Te2 Te 0.167 0.000 0.831
P1 P 0.168 0.000 0.336
```

Output
As for the energy relative to the elements, uncorrected: -16.2 eV per formula unit. Its magnetization is 0.00 μB per formula unit.

[6]
DyPaGa after structural relaxation. Source: Alexandria via LeMat-Bulk, functional GGA-PBE.

```
data_DyPaGa
_chemical_formula_sum 'Dy1 Pa1 Ga1'
_symmetry_space_group_name_H-M 'P 3 m 1'
_symmetry_Int_Tables_number 156
_symmetry_space_group_name_Hall 'P 3 -2"'
_cell_length_a 5.0641
_cell_length_b 5.0641
_cell_length_c 3.2803
_cell_angle_alpha 90.00
_cell_angle_beta 90.00
_cell_angle_gamma 120.00
loop_
_atom_site_label
_atom_site_type_symbol
_atom_site_fract_x
_atom_site_fract_y
_atom_site_fract_z
Dy1 Dy 0.0000 0.0000 0.0000
Pa1 Pa 0.6667 0.3333 0.4565
Ga1 Ga 0.3333 0.6667 0.7682
```

Output
Its magnetization is 0.01 μB per formula unit. The calculation puts the energy above the lowest structure with this stoichiometry at 181 meV/atom. The formation energy comes out at 0.049 eV/atom.

[7]
DyPaGa after structural relaxation. Source: Alexandria via LeMat-Bulk, functional GGA-PBE.

```
data_DyPaGa
_chemical_formula_sum 'Dy2 Pa2 Ga2'
_symmetry_space_group_name_H-M 'P 4/n m m'
_symmetry_Int_Tables_number 129
_cell_length_a 4.289
_cell_length_b 4.289
_cell_length_c 8.129
_cell_angle_alpha 90.00
_cell_angle_beta 90.00
_cell_angle_gamma 90.00
loop_
_symmetry_equiv_pos_as_xyz
'x,y,z'
'-x,-y,-z'
'-y+1/2,x,z'
'y+1/2,-x,-z'
'-x+1/2,-y+1/2,z'
'x+1/2,y+1/2,-z'
'y,-x+1/2,z'
'-y,x+1/2,-z'
'x+1/2,-y,-z'
'-x+1/2,y,z'
'-y,-x,-z'
'y,x,z'
'-x,y+1/2,-z'
'x,-y+1/2,z'
'y+1/2,x+1/2,-z'
'-y+1/2,-x+1/2,z'
loop_
_atom_site_label
_atom_site_type_symbol
_atom_site_fract_x
_atom_site_fract_y
_atom_site_fract_z
Dy1 Dy 0.250 0.750 0.000
Pa1 Pa 0.250 0.250 0.367
Ga1 Ga 0.250 0.250 0.730
```

Output
Its magnetization is 0.00 μB per formula unit. The calculation puts the energy above the lowest structure with this stoichiometry at 123 meV/atom. The formation energy comes out at -0.009 eV/atom.

[8]
DyPaGa after structural relaxation. Source: Alexandria via LeMat-Bulk, functional GGA-PBE.

```
data_DyPaGa
_chemical_formula_sum 'Dy2 Pa2 Ga2'
_symmetry_space_group_name_H-M 'I 4 m m'
_symmetry_Int_Tables_number 107
_symmetry_space_group_name_Hall 'I 4 -2'
_cell_length_a 3.242
_cell_length_b 3.242
_cell_length_c 13.812
_cell_angle_alpha 90.00
_cell_angle_beta 90.00
_cell_angle_gamma 90.00
loop_
_atom_site_label
_atom_site_type_symbol
_atom_site_fract_x
_atom_site_fract_y
_atom_site_fract_z
Dy1 Dy 0.000 0.000 0.000
Pa1 Pa 0.000 0.000 0.303
Ga1 Ga 0.000 0.000 0.652
```

Output
Its magnetization is 0.00 μB per formula unit. The calculation puts the energy above the lowest structure with this stoichiometry at 0 meV/atom. The formation energy comes out at -0.132 eV/atom.